No. 1
A plane-wave DFT calculation with PBE was carried out for a geometry-optimized RbGaGe structure.

Computed properties:
For the formation energy from the elements, the calculation gives 0.113 eV per atom. The calculation puts the total moment at 0.0 μB/f.u. The volume comes out at 477.4 Å³ per cell. Its symmetry is P4_122 (91). The total energy is -2.76 eV per atom.

a b c (Å): 5.954 5.954 13.467
angles (deg): 90.00 90.00 90.00
Fractional positions:
Rb1 0.000 0.246 0.000
Rb2 0.000 0.754 0.500
Rb3 0.246 0.000 0.750
Rb4 0.754 0.000 0.250
Ga1 0.364 0.364 0.375
Ga2 0.364 0.636 0.125
Ga3 0.636 0.364 0.625
Ga4 0.636 0.636 0.875
Ge1 0.113 0.500 0.250
Ge2 0.500 0.113 0.500
Ge3 0.500 0.887 0.000
Ge4 0.887 0.500 0.750


No. 2
A plane-wave DFT calculation with PBE was carried out for a geometry-optimized Zr3PdS structure.

Computed properties:
The uncorrected formation energy is -452 meV/atom. The calculation puts the total moment at 0.0 μB/f.u. The volume comes out at 108.5 Å³ per cell. As for the energy above the most stable polymorph in this dataset: 0.0 meV per atom. Its symmetry is Pm-3m (221). The total energy is -7.44 eV per atom.

a b c (Å): 4.770 4.770 4.770
angles (deg): 90.00 90.00 90.00
Fractional positions:
Zr1 0.000 0.000 0.500
Zr2 0.000 0.500 0.000
Zr3 0.500 0.000 0.000
Pd1 0.500 0.500 0.500
S1 0.000 0.000 0.000


No. 3
A plane-wave DFT calculation with PBE was carried out for a geometry-optimized LiZr2S structure.

Computed properties:
The uncorrected formation energy is -360 meV/atom. The calculation puts the total moment at 0.0 μB/f.u. The volume comes out at 157.4 Å³ per cell. Its symmetry is I-42d (122). The total energy is -6.14 eV per atom.

a b c (Å): 5.980 5.980 5.980
angles (deg): 103.08 103.08 123.19
Fractional positions:
Li1 0.000 0.000 0.000
Li2 0.750 0.250 0.500
Zr1 0.169 0.125 0.544
Zr2 0.375 0.831 0.956
Zr3 0.581 0.625 0.456
Zr4 0.875 0.419 0.044
S1 0.250 0.750 0.500
S2 0.500 0.500 0.000


No. 4
A plane-wave DFT calculation with PBE was carried out for a geometry-optimized NbTcP structure.

Computed properties:
For the formation energy from the elements, the calculation gives -0.547 eV per atom. The calculation puts the total moment at 0.0 μB/f.u. The volume comes out at 46.1 Å³ per cell. As for the energy above the most stable polymorph in this dataset: 71.8 meV per atom. Its symmetry is Amm2 (38). The total energy is -9.16 eV per atom.

a b c (Å): 3.003 5.100 5.100
angles (deg): 36.19 90.00 90.00
Fractional positions:
Nb1 0.000 0.000 0.000
Tc1 0.500 0.301 0.301
P1 0.000 0.698 0.698